Model i:
Density functional theory data (PBE) for a relaxed structure of SiTcMo.

Computed properties:
crystal system = orthorhombic
space group = Ama2, No. 40
mass density = 8.497 Mg/m³

a b c (Å): 4.6024 4.5610 4.5610
angles (deg): 65.00 90.00 90.00
Last column: nearest neighbours and their distance in Å.
Sites, in units of the cell vectors:
1 Si 0.2500 0.1801 0.8199  5 Mo 2.58-2.78, 5 Tc 2.63-2.75
2 Si 0.7500 0.8199 0.1801  5 Mo 2.58-2.78, 5 Tc 2.63-2.75
3 Tc 0.2500 0.8344 0.4814  3 Mo 2.48-2.78, 5 Si 2.63-2.75
4 Tc 0.7500 0.4814 0.8344  3 Mo 2.48-2.78, 5 Si 2.63-2.75
5 Mo 0.2500 0.5102 0.1612  3 Tc 2.48-2.78, 4 Si 2.58-2.73
6 Mo 0.7500 0.1612 0.5102  3 Tc 2.48-2.78, 4 Si 2.58-2.73

Model ii:
Density functional theory data (PBE) for a relaxed structure of SiTcMo.

Computed properties:
crystal system = monoclinic
space group = P2_1/m, No. 11
mass density = 8.240 Mg/m³

a b c (Å): 4.8648 3.0498 6.3908
angles (deg): 90.00 109.31 90.00
Last column: nearest neighbours and their distance in Å.
Sites, in units of the cell vectors:
1 Si 0.0955 0.2500 0.2685  3 Tc 2.42-2.45, 4 Mo 2.47-2.68
2 Si 0.9045 0.7500 0.7315  3 Tc 2.42-2.45, 4 Mo 2.47-2.68
3 Tc 0.3180 0.7500 0.0694  3 Si 2.42-2.45, 2 Tc 2.70
4 Tc 0.6820 0.2500 0.9306  3 Si 2.42-2.45, 2 Tc 2.70
5 Mo 0.3202 0.7500 0.5919  4 Si 2.47-2.68, 2 Tc 2.75
6 Mo 0.6798 0.2500 0.4081  4 Si 2.47-2.68, 2 Tc 2.75

In meV per atom, relative to the most stable structure: model i 18; model ii 0.

Model i:
Density functional theory data (PBE) for a relaxed structure of Tl2InRe.

Computed properties:
crystal system = tetragonal
space group = P4/mmm, No. 123
mass density = 13.278 Mg/m³

a b c (Å): 5.2682 5.2682 3.1982
angles (deg): 90.00 90.00 90.00
Last column: nearest neighbours and their distance in Å.
Sites, in units of the cell vectors:
1 Tl 0.0000 0.5000 0.0000  4 In 3.08, 4 Re 3.08, 2 Tl 3.20
2 Tl 0.5000 0.0000 0.0000  4 In 3.08, 4 Re 3.08, 2 Tl 3.20
3 In 0.0000 0.0000 0.5000  8 Tl 3.08, 2 In 3.20
4 Re 0.5000 0.5000 0.5000  8 Tl 3.08, 2 Re 3.20

Model ii:
Density functional theory data (PBE) for a relaxed structure of Tl2InRe.

Computed properties:
crystal system = orthorhombic
space group = Imm2, No. 44
mass density = 11.795 Mg/m³

a b c (Å): 7.5277 7.5277 7.5277
angles (deg): 157.51 142.14 44.48
Last column: nearest neighbours and their distance in Å.
Sites, in units of the cell vectors:
1 Tl 0.0000 0.0000 0.0000  2 Tl 2.94, 2 Re 3.07
2 Tl 0.6874 0.1874 0.5000  4 Re 2.85, 2 Tl 2.94
3 In 0.3698 0.3698 0.0000  2 Re 2.86, 2 In 2.94
4 Re 0.1934 0.6934 0.5000  6 Tl 2.85-3.07, 2 In 2.86, 2 Re 2.94

In meV per atom, relative to the most stable structure: model i 379; model ii 0.

Model i:
Density functional theory data (PBE) for a relaxed structure of Be3Zn5.

Computed properties:
crystal system = triclinic
space group = P-1, No. 2
mass density = 6.016 Mg/m³

a b c (Å): 4.9117 6.6071 6.6166
angles (deg): 86.34 72.75 72.48
Last column: nearest neighbours and their distance in Å.
Sites, in units of the cell vectors:
1 Be 0.0050 0.3359 0.4154  8 Zn 2.46-2.67, 3 Be 2.48-2.60
2 Be 0.2495 0.4526 0.0476  8 Zn 2.42-2.68, 4 Be 2.54-2.61
3 Be 0.4905 0.0858 0.1660  8 Zn 2.44-2.69, 3 Be 2.50-2.60
4 Be 0.5095 0.9142 0.8340  8 Zn 2.44-2.69, 3 Be 2.50-2.60
5 Be 0.7505 0.5474 0.9524  8 Zn 2.42-2.68, 4 Be 2.54-2.61
6 Be 0.9950 0.6641 0.5846  8 Zn 2.46-2.67, 3 Be 2.48-2.60
7 Zn 0.0128 0.1725 0.0896  6 Be 2.43-2.69, 6 Zn 2.61-2.69
8 Zn 0.2136 0.3139 0.7151  4 Be 2.46-2.51, 6 Zn 2.61-2.66
9 Zn 0.2501 0.9611 0.5383  8 Zn 2.55-2.83, 4 Be 2.59-2.60
10 Zn 0.2885 0.7842 0.1843  4 Be 2.46-2.50, 6 Zn 2.59-2.65
11 Zn 0.4866 0.4110 0.3273  6 Be 2.42-2.68, 6 Zn 2.59-2.69
12 Zn 0.5134 0.5890 0.6727  6 Be 2.42-2.68, 6 Zn 2.59-2.69
13 Zn 0.7115 0.2158 0.8157  4 Be 2.46-2.50, 6 Zn 2.59-2.65
14 Zn 0.7499 0.0389 0.4617  8 Zn 2.55-2.83, 4 Be 2.59-2.60
15 Zn 0.7864 0.6861 0.2849  4 Be 2.46-2.51, 6 Zn 2.61-2.66
16 Zn 0.9872 0.8275 0.9104  6 Be 2.43-2.69, 6 Zn 2.61-2.69

Model ii:
Density functional theory data (PBE) for a relaxed structure of Be3Zn5.

Computed properties:
crystal system = orthorhombic
space group = Cmcm, No. 63
mass density = 5.825 Mg/m³

a b c (Å): 7.0595 7.0595 4.8230
angles (deg): 90.00 90.00 57.13
Last column: nearest neighbours and their distance in Å.
Sites, in units of the cell vectors:
1 Be 0.0891 0.4951 0.2500  7 Zn 2.41-2.59
2 Be 0.0903 0.9097 0.7500  9 Zn 2.41-2.69
3 Be 0.4951 0.0891 0.7500  7 Zn 2.41-2.59
4 Be 0.5049 0.9109 0.2500  7 Zn 2.41-2.59
5 Be 0.9097 0.0903 0.2500  9 Zn 2.41-2.69
6 Be 0.9109 0.5049 0.7500  7 Zn 2.41-2.59
7 Zn 0.1629 0.1629 0.0000  6 Be 2.41-2.43, 2 Zn 2.41
8 Zn 0.1629 0.1629 0.5000  6 Be 2.41-2.43, 2 Zn 2.41
9 Zn 0.2667 0.7333 0.2500  5 Be 2.41-2.69
10 Zn 0.2700 0.5027 0.7500  3 Be 2.43-2.53
11 Zn 0.4973 0.7300 0.7500  3 Be 2.43-2.53
12 Zn 0.5027 0.2700 0.2500  3 Be 2.43-2.53
13 Zn 0.7300 0.4973 0.2500  3 Be 2.43-2.53
14 Zn 0.7333 0.2667 0.7500  5 Be 2.41-2.69
15 Zn 0.8371 0.8371 0.0000  6 Be 2.41-2.43, 2 Zn 2.41
16 Zn 0.8371 0.8371 0.5000  6 Be 2.41-2.43, 2 Zn 2.41

In meV per atom, relative to the most stable structure: model i 0; model ii 69.

Model i:
Density functional theory data (PBE) for a relaxed structure of Tl2CrW.

Computed properties:
crystal system = orthorhombic
space group = Imm2, No. 44
mass density = 12.936 Mg/m³

a b c (Å): 6.3503 6.3503 6.3503
angles (deg): 152.55 135.21 53.34
Last column: nearest neighbours and their distance in Å.
Sites, in units of the cell vectors:
1 Tl 0.0000 0.0000 0.0000  4 Cr 2.89, 2 Tl 3.01
2 Tl 0.7147 0.2147 0.5000  4 W 2.99, 2 Tl 3.01, 2 Cr 3.30
3 Cr 0.4565 0.4565 0.0000  2 W 2.37
4 W 0.2952 0.7952 0.5000  2 Cr 2.37

Model ii:
Density functional theory data (PBE) for a relaxed structure of Tl2CrW.

Computed properties:
crystal system = tetragonal
space group = I-42d, No. 122
mass density = 12.528 Mg/m³

a b c (Å): 6.1490 6.1490 6.1490
angles (deg): 102.98 102.98 123.41
Last column: nearest neighbours and their distance in Å.
Sites, in units of the cell vectors:
1 Tl 0.1184 0.6250 0.9934  2 Cr 2.77, 2 W 2.84, 2 Tl 2.92
2 Tl 0.3750 0.3684 0.4934  2 Cr 2.77, 2 W 2.84, 2 Tl 2.92
3 Tl 0.6316 0.1250 0.0066  2 Cr 2.77, 2 W 2.84, 2 Tl 2.92
4 Tl 0.8750 0.8816 0.5066  2 Cr 2.77, 2 W 2.84, 2 Tl 2.92
5 Cr 0.0000 0.0000 0.0000  4 Tl 2.77, 2 W 2.91
6 Cr 0.7500 0.2500 0.5000  4 Tl 2.77, 2 W 2.91
7 W 0.2500 0.7500 0.5000  4 Tl 2.84, 2 Cr 2.91
8 W 0.5000 0.5000 0.0000  4 Tl 2.84, 2 Cr 2.91

In meV per atom, relative to the most stable structure: model i 0; model ii 470.